Record 1
Here is a relaxed structure of ZrMn2Al from Alexandria via LeMat-Bulk. Energies are from GGA-PBE.

Properties
DFT total energy = -7.83 eV per atom
energy relative to the elements = -0.1716 eV/atom

a = 4.2301 Å, b = 4.2301 Å, c = 3.3290 Å
α = 90.00°, β = 90.00°, γ = 90.00°
Last column: nearest neighbours and their distance in Å.
Space group P4/mmm (No. 123)
Unique sites:
Zr  0.0000  0.0000  0.0000 [1 per cell]  8 Mn 2.69, 4 Al 2.99
Mn  0.0000  0.5000  0.5000 [2 per cell]  4 Zr 2.69, 4 Al 2.69, 4 Mn 2.99
Al  0.5000  0.5000  0.0000 [1 per cell]  8 Mn 2.69, 4 Zr 2.99



Record 2
Here is a relaxed structure of BeZn2Tc from Alexandria via LeMat-Bulk. Energies are from GGA-PBE.

Properties
DFT total energy = -4.21 eV per atom
energy relative to the elements = -0.0510 eV/atom

a = 3.5422 Å, b = 3.5422 Å, c = 4.0173 Å
α = 90.00°, β = 90.00°, γ = 90.00°
Last column: nearest neighbours and their distance in Å.
Space group P4/mmm (No. 123)
Unique sites:
Be  0.0000  0.0000  0.0000 [1 per cell]  4 Tc 2.50, 8 Zn 2.68
Zn  0.0000  0.5000  0.5000 [2 per cell]  4 Zn 2.50, 4 Tc 2.68, 4 Be 2.68
Tc  0.5000  0.5000  0.0000 [1 per cell]  4 Be 2.50, 8 Zn 2.68



Record 3
Here is a relaxed structure of CaBe2Al from Alexandria via LeMat-Bulk. Energies are from GGA-PBE.

Properties
DFT total energy = -3.07 eV per atom
energy relative to the elements = 0.2258 eV/atom

a = 2.9944 Å, b = 2.9944 Å, c = 7.0324 Å
α = 90.00°, β = 90.00°, γ = 90.00°
Last column: nearest neighbours and their distance in Å.
Space group P4mm (No. 99)
Unique sites:
Ca  0.0000  0.0000  0.0000 [1 per cell]  4 Ca 2.99, 5 Be 3.00-3.05, 4 Al 3.21
Be  0.0000  0.0000  0.5665 [1 per cell]  4 Be 2.31
Be  0.5000  0.5000  0.6979 [1 per cell]  4 Be 2.31, 1 Al 2.49
Al  0.5000  0.5000  0.3437 [1 per cell]  5 Be 2.49-2.63



Record 4
Here is a relaxed structure of BaHPb3 from Alexandria via LeMat-Bulk. Energies are from GGA-PBE.

Properties
DFT total energy = -2.04 eV per atom
offset from the most stable computed form = 1358 meV per atom

a = 6.4850 Å, b = 6.4850 Å, c = 6.4850 Å
α = 90.00°, β = 90.00°, γ = 90.00°
Last column: nearest neighbours and their distance in Å.
Space group Pm-3m (No. 221)
Unique sites:
Ba  0.0000  0.0000  0.0000 [1 per cell]  6 Pb 3.24
H  0.5000  0.5000  0.5000 [1 per cell]  12 Pb 4.59
Pb  0.0000  0.0000  0.5000 [3 per cell]  2 Ba 3.24



Record 5
Here is a relaxed structure of Cr2SbOs from Alexandria via LeMat-Bulk. Energies are from GGA-PBE.

Properties
DFT total energy = -8.22 eV per atom
formation energy without anion corrections = 0.427 eV per atom

a = 9.0534 Å, b = 2.9892 Å, c = 4.6367 Å
α = 90.00°, β = 102.82°, γ = 90.00°
Last column: nearest neighbours and their distance in Å.
Space group C2/m (No. 12)
Unique sites:
Cr  0.2444  0.0000  0.1866 [4 per cell]  2 Cr 2.31
Sb  0.0000  0.0000  0.5000 [2 per cell]  4 Os 2.76, 6 Cr 2.87-2.90, 2 Sb 2.99
Os  0.0000  0.5000  0.0000 [2 per cell]  6 Cr 2.64-2.65, 4 Sb 2.76



Record 6
Here is a relaxed structure of MnTlI3 from Alexandria via LeMat-Bulk. Energies are from GGA-PBE.

Properties
DFT total energy = -3.75 eV per atom
formation energy without anion corrections = -0.513 eV per atom
offset from the most stable computed form = 0 meV per atom

a = 15.8202 Å, b = 14.4894 Å, c = 8.1961 Å
α = 90.00°, β = 102.73°, γ = 90.00°
Last column: nearest neighbours and their distance in Å.
Space group C2/c (No. 15)
Unique sites:
Mn  0.2078  0.0849  0.2714 [8 per cell]  4 I 2.65-2.77
Tl  0.0000  0.2054  0.7500 [4 per cell]  6 I 3.49-3.73
Tl  0.0000  0.3974  0.2500 [4 per cell]  6 I 3.45-3.58
I  0.1191  0.4051  0.6647 [8 per cell]  1 Mn 2.68
I  0.1419  0.2427  0.1356 [8 per cell]  1 Mn 2.65
I  0.1447  0.0580  0.5569 [8 per cell]  2 Mn 2.76-2.77



Record 7
Here is a relaxed structure of V2Re3Mo7 from Alexandria via LeMat-Bulk. Energies are from GGA-PBE.

Properties
DFT total energy = -10.60 eV per atom
energy relative to the elements = 0.3476 eV/atom

a = 4.3554 Å, b = 21.4291 Å, c = 4.3502 Å
α = 90.00°, β = 90.00°, γ = 90.00°
Last column: nearest neighbours and their distance in Å.
Space group Cmmm (No. 65)
Unique sites:
V  0.0000  0.1473  0.0000 [4 per cell]  6 Mo 2.60-2.69
Re  0.0000  0.3519  0.5000 [4 per cell]  6 Mo 2.59-2.69
Re  0.0000  0.5000  0.5000 [2 per cell]  8 Mo 2.69-2.73
Mo  0.0000  0.0000  0.0000 [2 per cell]  8 Mo 2.69-2.73
Mo  0.0000  0.0767  0.5000 [4 per cell]  2 V 2.65, 4 Re 2.66-2.73, 2 Mo 2.73
Mo  0.0000  0.2866  0.0000 [4 per cell]  2 Re 2.59, 2 V 2.60, 2 Mo 2.68
Mo  0.0000  0.4260  0.0000 [4 per cell]  2 V 2.69, 4 Re 2.69, 3 Mo 2.69-2.99



Record 8
Here is a relaxed structure of CaTa2Cd from Alexandria via LeMat-Bulk. Energies are from GGA-PBE.

Properties
DFT total energy = -6.02 eV per atom
energy relative to the elements = 0.6328 eV/atom

a = 5.8320 Å, b = 10.2438 Å, c = 2.8380 Å
α = 90.00°, β = 90.00°, γ = 90.00°
Last column: nearest neighbours and their distance in Å.
Space group Cmmm (No. 65)
Unique sites:
Ca  0.0000  0.0000  0.0000 [2 per cell]  2 Ca 2.84, 2 Cd 2.92
Ta  0.2500  0.2500  0.5000 [4 per cell]  4 Ta 2.84-2.92
Cd  0.0000  0.5000  0.0000 [2 per cell]  2 Cd 2.84, 2 Ca 2.92